The following is a PBE calculation of a geometry-optimized Cs2SmSn2Se4 structure, from Alexandria via LeMat-Bulk.

Computed properties:
Calculated density = 5.0 g/cm³
Total DFT energy (no corrections) = -4.1954 eV/atom

```
data_Cs2SmSn2Se4
_cell_length_a 19.069
_cell_length_b 4.188
_cell_length_c 8.947
_cell_angle_alpha 90.00
_cell_angle_beta 116.22
_cell_angle_gamma 90.00
_space_group_name_H-M_alt 'C 1 2/m 1'
_space_group_IT_number 12
_space_group_name_Hall '-C 2y'
loop_
_atom_site_label
_atom_site_type_symbol
_atom_site_fract_x
_atom_site_fract_y
_atom_site_fract_z
Cs1 Cs 0.126 0.000 0.058
Sm1 Sm 0.000 0.000 0.500
Sn1 Sn 0.184 0.500 0.505
Se1 Se 0.021 0.500 0.289
Se2 Se 0.171 0.000 0.705
```